Computed, not measured: an optimized crystal structure of CdNiPt2 at the GGA-PBEsol level of DFT.

Results
formation energy	-0.11	eV per atom
final energy	-5.43	eV per atom

```
4
Lattice="4.555 -1.391 0.000 4.555 1.391 0.000 -0.978 0.000 4.650" Properties=species:S:1:pos:R:3 pbc="T T T"
Cd 0.000 0.000 0.000
Ni 4.066 0.000 2.325
Pt 1.485 0.000 3.429
Pt 6.648 0.000 1.221
```